# 1
Hg12Ge5I3: optimized geometry, PBE.

## Properties
Calculated volume   37.44 A^3/atom
VASP energy   -1.480 eV/atom
Symmetry   Ia-3d (230)
ΔE_f (raw)   88 meV per atom
DOS(E_F)   0.2417 states/eV/atom

a = 15.7286 Å, b = 15.7286 Å, c = 15.7286 Å
α = 109.47°, β = 109.47°, γ = 109.47°
Last column: nearest neighbours and their distance in Å.
Element x y z (fractional)
I 0.7500 0.3750 0.1250  4 Hg 3.56
I 0.8750 0.7500 0.1250  4 Hg 3.56
I 0.3750 0.7500 0.6250  4 Hg 3.56
I 0.2500 0.1250 0.3750  4 Hg 3.56
I 0.8750 0.1250 0.2500  4 Hg 3.56
I 0.3750 0.6250 0.2500  4 Hg 3.56
I 0.6250 0.3750 0.7500  4 Hg 3.56
I 0.1250 0.8750 0.7500  4 Hg 3.56
I 0.7500 0.8750 0.6250  4 Hg 3.56
I 0.6250 0.2500 0.3750  4 Hg 3.56
I 0.1250 0.2500 0.8750  4 Hg 3.56
I 0.2500 0.6250 0.8750  4 Hg 3.56
Ge 0.1250 0.3750 0.2500  4 Hg 2.59
Ge 0.0000 0.5000 0.0000  6 Hg 2.68
Ge 0.0000 0.0000 0.0000  6 Hg 2.68
Ge 0.3750 0.2500 0.1250  4 Hg 2.59
Ge 0.5000 0.0000 0.5000  6 Hg 2.68
Ge 0.5000 0.5000 0.0000  6 Hg 2.68
Ge 0.1250 0.7500 0.3750  4 Hg 2.59
Ge 0.7500 0.1250 0.8750  4 Hg 2.59
Ge 0.7500 0.6250 0.3750  4 Hg 2.59
Ge 0.3750 0.1250 0.7500  4 Hg 2.59
Ge 0.6250 0.8750 0.2500  4 Hg 2.59
Ge 0.5000 0.5000 0.5000  6 Hg 2.68
Ge 0.5000 0.0000 0.0000  6 Hg 2.68
Ge 0.0000 0.0000 0.5000  6 Hg 2.68
Ge 0.2500 0.3750 0.6250  4 Hg 2.59
Ge 0.2500 0.8750 0.1250  4 Hg 2.59
Ge 0.0000 0.5000 0.5000  6 Hg 2.68
Ge 0.8750 0.2500 0.6250  4 Hg 2.59
Ge 0.6250 0.7500 0.8750  4 Hg 2.59
Ge 0.8750 0.6250 0.7500  4 Hg 2.59
Hg 0.6655 0.1047 0.9884  2 Ge 2.59-2.68
Hg 0.3229 0.4884 0.3838  2 Ge 2.59-2.68
Hg 0.0116 0.3953 0.3345  2 Ge 2.59-2.68
Hg 0.4884 0.1655 0.1047  2 Ge 2.59-2.68
Hg 0.5609 0.6655 0.6771  2 Ge 2.59-2.68
Hg 0.0116 0.6162 0.1771  2 Ge 2.59-2.68
Hg 0.3229 0.8345 0.4391  2 Ge 2.59-2.68
Hg 0.1162 0.9391 0.1047  2 Ge 2.59-2.68
Hg 0.6162 0.0116 0.6771  2 Ge 2.59-2.68
Hg 0.6655 0.5609 0.1771  2 Ge 2.59-2.68
Hg 0.8345 0.5116 0.3953  2 Ge 2.59-2.68
Hg 0.8229 0.8838 0.9884  2 Ge 2.59-2.68
Hg 0.1047 0.6655 0.4884  2 Ge 2.59-2.68
Hg 0.3953 0.3838 0.0609  2 Ge 2.59-2.68
Hg 0.0609 0.8838 0.3953  2 Ge 2.59-2.68
Hg 0.4391 0.1047 0.6162  2 Ge 2.59-2.68
Hg 0.0609 0.1771 0.1655  2 Ge 2.59-2.68
Hg 0.5116 0.6771 0.1162  2 Ge 2.59-2.68
Hg 0.8229 0.9391 0.3345  2 Ge 2.59-2.68
Hg 0.1047 0.4391 0.1162  2 Ge 2.59-2.68
Hg 0.3953 0.0116 0.8345  2 Ge 2.59-2.68
Hg 0.6162 0.6047 0.4391  2 Ge 2.59-2.68
Hg 0.8838 0.8229 0.4884  2 Ge 2.59-2.68
Hg 0.8345 0.3229 0.9391  2 Ge 2.59-2.68
Hg 0.3838 0.3953 0.5609  2 Ge 2.59-2.68
Hg 0.1162 0.1771 0.5116  2 Ge 2.59-2.68
Hg 0.1655 0.6771 0.0609  2 Ge 2.59-2.68
Hg 0.1771 0.0609 0.6655  2 Ge 2.59-2.68
Hg 0.6047 0.9884 0.1655  2 Ge 2.59-2.68
Hg 0.8953 0.5609 0.8838  2 Ge 2.59-2.68
Hg 0.4884 0.3229 0.8838  2 Ge 2.59-2.68
Hg 0.5609 0.8953 0.3838  2 Ge 2.59-2.68
Hg 0.9391 0.8229 0.8345  2 Ge 2.59-2.68
Hg 0.9391 0.1162 0.6047  2 Ge 2.59-2.68
Hg 0.8953 0.3345 0.5116  2 Ge 2.59-2.68
Hg 0.1771 0.1162 0.0116  2 Ge 2.59-2.68
Hg 0.6047 0.6162 0.9391  2 Ge 2.59-2.68
Hg 0.3838 0.9884 0.3229  2 Ge 2.59-2.68
Hg 0.3345 0.4391 0.8229  2 Ge 2.59-2.68
Hg 0.1655 0.4884 0.6047  2 Ge 2.59-2.68
Hg 0.8838 0.0609 0.8953  2 Ge 2.59-2.68
Hg 0.6771 0.1655 0.5609  2 Ge 2.59-2.68
Hg 0.5116 0.8345 0.8953  2 Ge 2.59-2.68
Hg 0.9884 0.3838 0.8229  2 Ge 2.59-2.68
Hg 0.4391 0.3345 0.3229  2 Ge 2.59-2.68
Hg 0.9884 0.6047 0.6655  2 Ge 2.59-2.68
Hg 0.6771 0.5116 0.6162  2 Ge 2.59-2.68
Hg 0.3345 0.8953 0.0116  2 Ge 2.59-2.68



# 2
TlPRu: optimized geometry, PBE.

## Properties
Calculated volume   22.85 A^3/atom
VASP energy   -6.030 eV/atom
Symmetry   P4/nmm (129)
DFT formation energy   -0.346 eV/atom
Energy relative to the lowest polymorph listed for this composition   0 meV per atom
DOS(E_F)   0.3489 states/eV/atom

a = 8.3771 Å, b = 4.0455 Å, c = 4.0460 Å
α = 90.00°, β = 89.97°, γ = 90.04°
Last column: nearest neighbours and their distance in Å.
Element x y z (fractional)
Ru 0.8331 0.6840 0.1587  4 P 2.33
Ru 0.8330 0.1840 0.6587  4 P 2.33
Tl 0.1600 0.1849 0.1588  4 P 3.27, 4 Ru 3.40-3.41
Tl 0.5060 0.6834 0.6586  4 P 3.27, 4 Ru 3.40-3.41
P 0.6947 0.1838 0.1588  4 Ru 2.33
P 0.9714 0.6842 0.6585  4 Ru 2.33



# 3
PmSmBiAs: optimized geometry, PBE.

## Properties
Calculated volume   30.00 A^3/atom
VASP energy   -5.708 eV/atom
Symmetry   R3m (160)
DFT formation energy   -1.208 eV/atom
DOS(E_F)   0.1991 states/eV/atom

a = 4.3641 Å, b = 4.3641 Å, c = 7.6987 Å
α = 73.54°, β = 73.54°, γ = 60.00°
Last column: nearest neighbours and their distance in Å.
Element x y z (fractional)
Pm 0.5075 0.5075 0.4774  3 As 3.02, 3 Bi 3.21
Sm 0.9925 0.9925 0.0226  3 As 3.01, 3 Bi 3.20
Bi 0.7495 0.7495 0.7514  3 Sm 3.20, 3 Pm 3.21
As 0.2505 0.2505 0.2486  3 Sm 3.01, 3 Pm 3.02